Record 1
Compound: Na6Co2PC4O16
Source: Alexandria via LeMat-Bulk
Functional: PBE+U
Structure: relaxed

The density of states at the Fermi level comes out at 173.0 states/eV per cell.

The structure belongs to space group Fd-3 (No. 203, origin choice 2); the cell edges are 14.020, 14.020 and 14.020 Å and the angles 90.00°, 90.00° and 90.00°. Symmetry generates all atoms from Na at (0.088, 0.375, 0.375), Co at (0.000, 0.000, 0.500), P at (0.125, 0.125, 0.125), C at (0.033, 0.033, 0.717), O at (0.021, 0.103, 0.776) and O at (0.061, 0.061, 0.061).

Record 2
Compound: Na2CoPCO7
Source: Alexandria via LeMat-Bulk
Functional: PBE+U
Structure: relaxed

The structure belongs to space group P2_1/m (No. 11); the cell edges are 5.286, 6.413 and 9.071 Å and the angles 90.00°, 91.83° and 90.00°. Symmetry generates all atoms from Na at (0.236, 0.005, 0.269), Co at (0.216, 0.250, 0.851), P at (0.288, 0.750, 0.930), C at (0.275, 0.250, 0.581), O at (0.052, 0.250, 0.641), O at (0.157, 0.750, 0.080), O at (0.204, 0.555, 0.838), O at (0.308, 0.250, 0.445), O at (0.418, 0.250, 0.048) and O at (0.464, 0.250, 0.680).

Record 3
Compound: NaCoCSO7
Source: Alexandria via LeMat-Bulk
Functional: PBE+U
Structure: relaxed

The structure belongs to space group P2_1 (No. 4); the cell edges are 5.087, 6.635 and 9.212 Å and the angles 90.00°, 91.28° and 90.00°. Symmetry generates all atoms from Na at (0.232, 0.000, 0.272), Co at (0.219, 0.203, 0.851), C at (0.293, 0.209, 0.597), S at (0.282, 0.712, 0.926), O at (0.061, 0.213, 0.657), O at (0.144, 0.720, 0.067), O at (0.202, 0.531, 0.840), O at (0.224, 0.890, 0.836), O at (0.332, 0.198, 0.465), O at (0.427, 0.197, 0.041) and O at (0.478, 0.217, 0.700).

Record 4
Compound: Na2CoCSO7
Source: Alexandria via LeMat-Bulk
Functional: PBE+U
Structure: relaxed

The density of states at the Fermi level comes out at 0.0 states/eV per cell.

The structure belongs to space group P2_1/m (No. 11); the cell edges are 5.304, 6.731 and 9.053 Å and the angles 90.00°, 92.27° and 90.00°. Symmetry generates all atoms from Na at (0.230, 0.004, 0.287), Co at (0.222, 0.750, 0.855), C at (0.277, 0.750, 0.583), S at (0.272, 0.250, 0.926), O at (0.054, 0.750, 0.641), O at (0.161, 0.250, 0.076), O at (0.187, 0.071, 0.842), O at (0.309, 0.750, 0.445), O at (0.444, 0.750, 0.055) and O at (0.468, 0.750, 0.682).

DFT total energy list, top to bottom, in eV per atom: -6.463; -6.504; -6.312; -6.208